No. 1
! LiTb2Mg6, relaxed, DFT PBE; values from VASP
! E_tot: -2.2957 eV per atom
! ρ: 3.392 g/cm³
&SYSTEM
  ibrav = 0, nat = 9, ntyp = 3
/
ATOMIC_SPECIES
Li 6.94 Li.upf
Tb 158.93 Tb.upf
Mg 24.30 Mg.upf
CELL_PARAMETERS angstrom
5.851 0.000 -1.981
0.000 8.977 0.000
-4.148 -4.488 5.792
ATOMIC_POSITIONS angstrom
Li 0.000 0.000 0.000
Tb 2.534 4.488 0.584
Tb -0.832 0.000 3.227
Mg -0.402 2.994 1.602
Mg 2.104 -1.495 2.209
Mg 2.104 1.495 2.209
Mg 2.925 1.498 -0.991
Mg -0.402 5.983 1.602
Mg 2.925 7.479 -0.991



No. 2
! Sr4Cd2In, relaxed, DFT PBE; values from VASP
! E_tot: -1.9064 eV per atom
! ρ: 4.295 g/cm³
&SYSTEM
  ibrav = 0, nat = 7, ntyp = 3
/
ATOMIC_SPECIES
Sr 87.62 Sr.upf
Cd 112.41 Cd.upf
In 114.82 In.upf
CELL_PARAMETERS angstrom
5.471 0.000 1.709
2.469 4.883 1.709
-0.104 -0.064 9.943
ATOMIC_POSITIONS angstrom
Sr 6.911 4.250 6.714
Sr 0.926 0.569 6.648
Sr 4.944 3.040 3.397
Sr 2.892 1.779 9.964
Cd 5.864 3.606 10.063
Cd 1.972 1.213 3.299
In 0.000 0.000 0.000



No. 3
! ZrBe2Ga2, relaxed, DFT PBE; values from VASP
! E_tot: -4.6984 eV per atom
! ρ: 5.999 g/cm³
&SYSTEM
  ibrav = 0, nat = 5, ntyp = 3
/
ATOMIC_SPECIES
Be 9.01 Be.upf
Ga 69.72 Ga.upf
Zr 91.22 Zr.upf
CELL_PARAMETERS angstrom
-1.845 -1.595 -2.859
-1.581 -2.440 2.381
-5.432 1.059 0.445
ATOMIC_POSITIONS angstrom
Be -2.472 -1.390 -0.100
Be -6.386 -1.587 0.066
Ga -4.495 -1.277 -1.327
Ga -4.363 -1.700 1.293
Zr 0.000 0.000 0.000



no.,energy relative to the lowest polymorph listed for this composition (meV/atom),DOS(E_F) (states/eV per cell)
1,47,8.15
2,0,4.31
3,0,0.88